1.
The following is a GGA-PBE calculation of crystalline Tb2NdSm6Er at its relaxed geometry, from Alexandria.

E_tot, eV per atom: -4.574

Cell: 8.905 8.905 9.651 Å, 93.72 93.72 117.69°
Positions (direct):
Tb (0.197, 0.299, 0.454)
Tb (0.299, 0.197, 0.954)
Tb (0.701, 0.803, 0.046)
Tb (0.803, 0.701, 0.546)
Nd (0.475, 0.525, 0.750)
Nd (0.525, 0.475, 0.250)
Sm (0.009, 0.792, 0.881)
Sm (0.065, 0.513, 0.686)
Sm (0.208, 0.991, 0.619)
Sm (0.255, 0.621, 0.055)
Sm (0.379, 0.745, 0.445)
Sm (0.487, 0.935, 0.814)
Sm (0.513, 0.065, 0.186)
Sm (0.621, 0.255, 0.555)
Sm (0.745, 0.379, 0.945)
Sm (0.792, 0.009, 0.381)
Sm (0.935, 0.487, 0.314)
Sm (0.991, 0.208, 0.119)
Er (0.090, 0.910, 0.250)
Er (0.910, 0.090, 0.750)

---

2.
The following is a GGA-PBE calculation of crystalline Ce5Te5H2 at its relaxed geometry, from Alexandria.

E_tot, eV per atom: -5.359

Cell: 7.386 7.386 11.050 Å, 98.62 98.62 32.50°
Positions (direct):
Ce (0.000, 0.000, 0.000)
Ce (0.102, 0.102, 0.337)
Ce (0.342, 0.342, 0.198)
Ce (0.658, 0.658, 0.802)
Ce (0.898, 0.898, 0.663)
Te (0.220, 0.220, 0.612)
Te (0.338, 0.338, 0.902)
Te (0.500, 0.500, 0.500)
Te (0.662, 0.662, 0.098)
Te (0.780, 0.780, 0.388)
H (0.056, 0.056, 0.807)
H (0.944, 0.944, 0.193)

---

3.
The following is a GGA-PBE calculation of crystalline Cu7GeI12 at its relaxed geometry, from Alexandria.

Formation energy from raw total energies, eV per atom: -0.0047
E_tot, eV per atom: -2.599

Cell: 9.109 9.109 9.109 Å, 108.16 108.16 108.16°
Positions (direct):
Cu (0.000, 0.000, 0.000)
Cu (0.147, 0.389, 0.454)
Cu (0.389, 0.454, 0.147)
Cu (0.454, 0.147, 0.389)
Cu (0.546, 0.853, 0.611)
Cu (0.611, 0.546, 0.853)
Cu (0.853, 0.611, 0.546)
Ge (0.500, 0.500, 0.500)
I (0.075, 0.349, 0.107)
I (0.107, 0.075, 0.349)
I (0.192, 0.703, 0.574)
I (0.297, 0.426, 0.808)
I (0.349, 0.107, 0.075)
I (0.426, 0.808, 0.297)
I (0.574, 0.192, 0.703)
I (0.651, 0.893, 0.925)
I (0.703, 0.574, 0.192)
I (0.808, 0.297, 0.426)
I (0.893, 0.925, 0.651)
I (0.925, 0.651, 0.893)

---

4.
The following is a GGA-PBE calculation of crystalline K2CdS8 at its relaxed geometry, from Alexandria.

Formation energy from raw total energies, eV per atom: -0.3940
E_tot, eV per atom: -3.679

Cell: 5.722 6.079 10.421 Å, 80.39 87.97 65.98°
Positions (direct):
K (0.036, 0.279, 0.356)
K (0.964, 0.721, 0.644)
Cd (0.500, 0.500, 0.000)
S (0.162, 0.144, 0.866)
S (0.201, 0.819, 0.186)
S (0.298, 0.670, 0.378)
S (0.408, 0.821, 0.807)
S (0.592, 0.179, 0.193)
S (0.702, 0.330, 0.622)
S (0.799, 0.181, 0.814)
S (0.838, 0.856, 0.134)

---

Question: Which of these has the lowest E_tot?
Answer: Ce5Te5H2

---

Question: Among the records above, which one has the lowest E_tot?
Answer: Ce5Te5H2

---

Question: Which of these has the highest E_tot?
Answer: Cu7GeI12